This record from Alexandria via LeMat-Bulk describes an optimized crystal structure of ScCrSi2. The functional is GGA-PBEsol.

Results
energy relative to the elements, uncorrected	175	meV per atom
raw total energy	-6.910	eV per atom
energy relative to the lowest polymorph listed for this composition	2.28	eV/f.u.
V	18.338	A^3/atom
mass density	3.47	g cm⁻³
space-group type	I-42d, No. 122

Cell: 8.5351 8.5351 8.5351 Å, 150.90 150.90 41.62°
With the nearest neighbours (Å) after each atom.
Sites, in units of the cell vectors:
Sc 0.0000 0.0000 0.0000  4 Si 2.81, 4 Cr 3.03
Sc 0.7500 0.2500 0.5000  4 Si 2.81, 4 Cr 3.03
Cr 0.2500 0.7500 0.5000  4 Si 2.32
Cr 0.5000 0.5000 0.0000  4 Si 2.32
Si 0.2623 0.6250 0.1373  2 Cr 2.32, 2 Si 2.35
Si 0.3750 0.5123 0.6373  2 Cr 2.32, 2 Si 2.35
Si 0.4877 0.1250 0.8627  2 Cr 2.32, 2 Si 2.35
Si 0.8750 0.7377 0.3627  2 Cr 2.32, 2 Si 2.35